Na2TlSbCl8 after structural relaxation. Source: the Alexandria database, functional PBE.

The space group is P-1 (No. 2) and the conventional cell measures 6.365, 6.897 and 9.340 Å, with angles of 107.59, 96.38 and 94.74 degrees. The inequivalent atoms are Na at (0.032, 0.186, 0.191), Tl at (0.500, 0.500, 0.000), Sb at (0.500, 0.500, 0.500), Cl at (0.070, 0.218, 0.917), Cl at (0.218, 0.245, 0.500), Cl at (0.264, 0.617, 0.332) and Cl at (0.397, 0.747, 0.724).

Its energy relative to the elements, uncorrected is -1.066 eV per atom.

NaScCl3 after structural relaxation. Source: the Alexandria database, functional PBE.

The space group is C2/m (No. 12) and the conventional cell measures 14.378, 3.628 and 9.131 Å, with angles of 90.00, 96.86 and 90.00 degrees. The inequivalent atoms are Na at (0.100, 0.000, 0.435), Sc at (0.207, 0.500, 0.856), Cl at (0.058, 0.500, 0.666), Cl at (0.126, 0.000, 0.001) and Cl at (0.229, 0.500, 0.319).

Its energy relative to the elements, uncorrected is -1.806 eV per atom.

NaSc2Cl after structural relaxation. Source: the Alexandria database, functional PBE.

The space group is R-3m (No. 166, hexagonal axes) and the conventional cell measures 3.2879, 3.2879 and 31.8880 Å, with angles of 90.00, 90.00 and 120.00 degrees. The inequivalent atoms are Na at (0.0000, 0.0000, 0.0000), Sc at (0.0000, 0.0000, 0.1024) and Cl at (0.0000, 0.0000, 0.5000).

Its energy relative to the elements, uncorrected is -0.287 eV per atom.

Number 1: magnetic moment 0.00 μB/cell, total energy -3.06 eV per atom. Number 2: magnetic moment 3.71 μB/cell, total energy -4.44 eV per atom. Number 3: magnetic moment 4.48 μB/cell, total energy -4.24 eV per atom.